No. 1
A relaxed structure of BaPbAu5, computed with PBE.

a b c (Å): 9.681 5.830 11.691
angles (deg): 90.00 90.00 90.00
Space group Pnma (No. 62)
One atom of each set of equivalent atoms:
Ba  0.245  0.250  0.061 [4 per cell]
Pb  0.139  0.750  0.859 [4 per cell]
Au  0.064  0.750  0.094 [4 per cell]
Au  0.076  0.002  0.308 [8 per cell]
Au  0.080  0.250  0.518 [4 per cell]
Au  0.176  0.250  0.752 [4 per cell]

Calculated values
calculated volume = 23.57 Å³ per atom
ΔH_f (0 K) = -0.37 eV per atom

=====

No. 2
A relaxed structure of Ce2NpScAs4, computed with PBE.

a b c (Å): 7.090 4.119 7.120
angles (deg): 90.00 109.49 90.00
Space group P2/m (No. 10)
One atom of each set of equivalent atoms:
Ce  0.000  0.000  0.000 [1 per cell]
Ce  0.000  0.500  0.500 [1 per cell]
Np  0.500  0.000  0.500 [1 per cell]
Sc  0.500  0.500  0.000 [1 per cell]
As  0.262  0.500  0.247 [2 per cell]
As  0.266  0.000  0.761 [2 per cell]

Calculated values
calculated volume = 24.50 Å³ per atom
ΔH_f (0 K) = -1.21 eV per atom

=====

No. 3
A relaxed structure of Li2PRh, computed with PBE.

a b c (Å): 2.7167 2.7167 25.2860
angles (deg): 90.00 90.00 120.00
Space group R-3m (No. 166, hexagonal axes)
One atom of each set of equivalent atoms:
Li  0.0000  0.0000  0.2469 [6 per cell]
P  0.0000  0.0000  0.5000 [3 per cell]
Rh  0.0000  0.0000  0.0000 [3 per cell]

Calculated values
calculated volume = 13.47 Å³ per atom
ΔH_f (0 K) = -0.15 eV per atom

=====

Number 1: density of states at the Fermi level 9.040 states/eV per cell. Number 2: density of states at the Fermi level 17.227 states/eV per cell. Number 3: density of states at the Fermi level 7.095 states/eV per cell.